{"formula": "NaTe2Pd2", "functional": "PBE", "state": "optimized geometry", "lattice_angstrom": [[-1.337, -4.941, 0.649], [4.678, -1.476, -1.600], [3.215, -3.052, 3.899]], "species": ["Te", "Pd", "Na", "Pd", "Te"], "frac_coords": [[0.750, 0.250, 0.500], [0.343, 0.343, 0.313], [0.000, 0.000, 0.000], [0.657, 0.657, 0.687], [0.250, 0.750, 0.500]], "polymorph_energy_ev_per_atom": 0.060, "sg": "I4/mmm, No. 139", "m_tot_mub_per_cell": 0.00, "energy_ev_per_atom": -3.99, "e_form_raw_ev_per_atom": -0.3907}



{"formula": "NaTePd2", "functional": "PBE", "state": "optimized geometry", "lattice_angstrom": [[5.202, 0.000, 0.000], [0.000, 5.202, 0.000], [2.601, 2.601, 8.789]], "species": ["Pd", "Pd", "Na", "Na", "Te", "Te", "Pd", "Pd"], "frac_coords": [[0.833, 0.125, 0.250], [0.375, 0.167, 0.750], [0.250, 0.750, 0.500], [0.500, 0.500, 0.000], [0.750, 0.250, 0.500], [0.000, 0.000, 0.000], [0.875, 0.083, 0.750], [0.917, 0.625, 0.250]], "sg": "I-42d, No. 122", "m_tot_mub_per_cell": 0.00, "energy_ev_per_atom": -3.94, "e_form_raw_ev_per_atom": -0.2334}



{"formula": "NaTePd3", "functional": "PBE", "state": "optimized geometry", "lattice_angstrom": [[-1.012, -2.546, -3.805], [4.540, -0.058, -1.169], [0.587, -3.937, 2.477]], "species": ["Na", "Pd", "Pd", "Te", "Pd"], "frac_coords": [[0.000, 0.000, 0.000], [0.500, 0.000, 0.000], [0.000, 0.000, 0.500], [0.500, 0.500, 0.500], [0.000, 0.500, 0.000]], "polymorph_energy_ev_per_atom": 0.993, "sg": "Pm-3m, No. 221", "m_tot_mub_per_cell": 0.00, "energy_ev_per_atom": -3.30, "e_form_raw_ev_per_atom": 0.7081}



{"formula": "NaTe2Pd7", "functional": "PBE", "state": "optimized geometry", "lattice_angstrom": [[4.096, 0.000, -0.788], [-0.152, 4.093, -0.788], [0.019, 0.020, 11.137]], "species": ["Pd", "Pd", "Na", "Pd", "Pd", "Pd", "Te", "Pd", "Te", "Pd"], "frac_coords": [[0.250, 0.750, 0.500], [0.500, 0.500, 0.000], [0.000, 0.000, 0.000], [0.908, 0.408, 0.816], [0.408, 0.908, 0.816], [0.750, 0.250, 0.500], [0.667, 0.667, 0.335], [0.592, 0.092, 0.184], [0.333, 0.333, 0.665], [0.092, 0.592, 0.184]], "sg": "I4/mmm, No. 139", "m_tot_mub_per_cell": 0.00, "energy_ev_per_atom": -4.59, "e_form_raw_ev_per_atom": -0.1934}



{"formula": "NaTe2Pd2", "functional": "PBE", "state": "optimized geometry", "lattice_angstrom": [[8.128, 0.000, 0.000], [0.000, 8.128, 0.000], [0.000, 0.000, 3.336]], "species": ["Te", "Pd", "Pd", "Te", "Pd", "Te", "Te", "Na", "Na", "Pd"], "frac_coords": [[0.164, 0.336, 0.000], [0.869, 0.369, 0.500], [0.631, 0.869, 0.500], [0.836, 0.664, 0.000], [0.131, 0.631, 0.500], [0.336, 0.836, 0.000], [0.664, 0.164, 0.000], [0.500, 0.500, 0.000], [0.000, 0.000, 0.000], [0.369, 0.131, 0.500]], "polymorph_energy_ev_per_atom": 0.145, "sg": "P4/mbm, No. 127", "m_tot_mub_per_cell": 0.00, "energy_ev_per_atom": -3.90, "e_form_raw_ev_per_atom": -0.3054}



{"formula": "NaTePd", "functional": "PBE", "state": "optimized geometry", "lattice_angstrom": [[4.504, -0.220, -0.015], [0.215, 4.505, -0.016], [0.022, 0.021, 7.045]], "species": ["Na", "Pd", "Pd", "Na", "Te", "Te"], "frac_coords": [[0.314, 0.367, 0.238], [0.314, 0.866, 0.920], [0.813, 0.367, 0.920], [0.813, 0.866, 0.602], [0.814, 0.867, 0.144], [0.313, 0.366, 0.695]], "sg": "C2/m, No. 12", "m_tot_mub_per_cell": 0.00, "energy_ev_per_atom": -3.77, "e_form_raw_ev_per_atom": -0.5508}



{"formula": "Na2Te3Pd2", "functional": "PBE", "state": "optimized geometry", "lattice_angstrom": [[4.125, 0.000, 0.000], [-2.063, 6.257, -1.614], [0.000, -5.152, 8.565]], "species": ["Te", "Na", "Na", "Pd", "Pd", "Te", "Te"], "frac_coords": [[0.500, 0.000, 0.000], [0.826, 0.651, 0.235], [0.174, 0.349, 0.765], [0.911, 0.822, 0.738], [0.089, 0.178, 0.262], [0.398, 0.796, 0.553], [0.602, 0.204, 0.447]], "sg": "C2/m, No. 12", "m_tot_mub_per_cell": 0.00, "energy_ev_per_atom": -3.65, "e_form_raw_ev_per_atom": -0.4441}



{"formula": "NaTePd2", "functional": "PBE", "state": "optimized geometry", "lattice_angstrom": [[-1.122, 3.209, -3.146], [-3.511, -0.753, -2.926], [-4.692, 2.896, 1.218]], "species": ["Pd", "Te", "Na", "Pd"], "frac_coords": [[0.803, 0.803, 0.590], [0.500, 0.500, 0.500], [0.000, 0.000, 0.000], [0.197, 0.197, 0.410]], "sg": "R-3m, No. 166", "m_tot_mub_per_cell": 0.00, "energy_ev_per_atom": -4.08, "e_form_raw_ev_per_atom": -0.3686}



{"formula": "Na4Th3Te8Pd", "functional": "PBE", "state": "optimized geometry", "lattice_angstrom": [[8.875, 0.000, 0.000], [0.000, 9.137, 0.094], [-4.438, -4.491, 6.351]], "species": ["Te", "Te", "Th", "Na", "Na", "Te", "Th", "Te", "Te", "Th", "Na", "Pd", "Na", "Te", "Te", "Te"], "frac_coords": [[0.766, 0.275, 0.010], [0.749, 0.748, 0.498], [0.500, 0.500, 0.000], [0.000, 0.000, 0.000], [0.500, 0.000, 0.500], [0.243, 0.733, 0.485], [0.000, 0.500, 0.500], [0.234, 0.725, 0.990], [0.757, 0.267, 0.515], [0.500, 0.500, 0.500], [0.500, 0.000, 0.000], [0.000, 0.500, 0.000], [0.000, 0.000, 0.500], [0.251, 0.252, 0.502], [0.244, 0.275, 0.010], [0.756, 0.725, 0.990]], "sg": "C2/m, No. 12", "m_tot_mub_per_cell": 0.00, "energy_ev_per_atom": -4.59, "e_form_raw_ev_per_atom": -0.9755}



{"formula": "NaTiTe3Pd", "functional": "PBE", "state": "optimized geometry", "lattice_angstrom": [[3.871, 0.000, 0.000], [0.000, 8.095, -0.142], [0.000, -3.277, 9.882]], "species": ["Te", "Te", "Te", "Ti", "Pd", "Te", "Na", "Te", "Ti", "Na", "Pd", "Te"], "frac_coords": [[0.250, 0.072, 0.866], [0.750, 0.928, 0.134], [0.750, 0.275, 0.555], [0.750, 0.291, 0.822], [0.750, 0.921, 0.389], [0.250, 0.725, 0.445], [0.750, 0.743, 0.706], [0.250, 0.564, 0.879], [0.250, 0.709, 0.178], [0.250, 0.257, 0.294], [0.250, 0.079, 0.611], [0.750, 0.436, 0.121]], "sg": "P2_1/m, No. 11", "m_tot_mub_per_cell": 0.00, "energy_ev_per_atom": -4.65, "e_form_raw_ev_per_atom": -0.6782}



{"formula": "NaTi3Te6Pd2", "functional": "PBE", "state": "optimized geometry", "lattice_angstrom": [[4.022, 0.000, 0.000], [0.000, 8.846, -0.083], [-2.011, -3.011, 8.768]], "species": ["Na", "Ti", "Te", "Te", "Te", "Te", "Pd", "Pd", "Te", "Ti", "Te", "Ti"], "frac_coords": [[0.500, 0.000, 0.000], [0.142, 0.809, 0.285], [0.310, 0.937, 0.619], [0.690, 0.063, 0.381], [0.340, 0.393, 0.681], [0.985, 0.713, 0.970], [0.117, 0.132, 0.234], [0.883, 0.868, 0.766], [0.015, 0.287, 0.030], [0.858, 0.191, 0.715], [0.660, 0.607, 0.319], [0.500, 0.500, 0.000]], "sg": "C2/m, No. 12", "m_tot_mub_per_cell": 1.33, "energy_ev_per_atom": -5.08, "e_form_raw_ev_per_atom": -0.5605}



{"formula": "Na3Ti2Te6Pd", "functional": "PBE", "state": "optimized geometry", "lattice_angstrom": [[-1.069, 5.498, -4.388], [-1.687, -6.595, -2.071], [-5.912, 1.246, 4.925]], "species": ["Te", "Ti", "Na", "Te", "Na", "Te", "Ti", "Te", "Te", "Pd", "Te", "Na"], "frac_coords": [[0.931, 0.597, 0.794], [0.332, 0.668, 0.000], [0.164, 0.836, 0.500], [0.266, 0.266, 0.796], [0.500, 0.500, 0.500], [0.403, 0.069, 0.206], [0.668, 0.332, 0.000], [0.069, 0.403, 0.206], [0.597, 0.931, 0.794], [0.000, 0.000, 0.000], [0.734, 0.734, 0.204], [0.836, 0.164, 0.500]], "sg": "C2/m, No. 12", "m_tot_mub_per_cell": 0.00, "energy_ev_per_atom": -4.31, "e_form_raw_ev_per_atom": -0.6633}



{"formula": "NaTl2Te2Pd", "functional": "PBE", "state": "optimized geometry", "lattice_angstrom": [[7.130, 0.000, 0.000], [0.000, 7.571, 0.000], [-3.565, -3.786, 7.136]], "species": ["Tl", "Te", "Tl", "Na", "Pd", "Tl", "Te", "Tl", "Te", "Na", "Te", "Pd"], "frac_coords": [[0.159, 0.468, 0.318], [0.905, 0.186, 0.810], [0.659, 0.850, 0.318], [0.250, 0.000, 0.000], [0.750, 0.500, 0.000], [0.841, 0.532, 0.682], [0.095, 0.814, 0.190], [0.341, 0.150, 0.682], [0.405, 0.623, 0.810], [0.750, 0.000, 0.000], [0.595, 0.377, 0.190], [0.250, 0.500, 0.000]], "sg": "Ibam, No. 72", "m_tot_mub_per_cell": 0.00, "energy_ev_per_atom": -3.28, "e_form_raw_ev_per_atom": -0.3542}



{"formula": "Na2UTe4Pd", "functional": "PBE", "state": "optimized geometry", "lattice_angstrom": [[4.350, 0.000, 0.000], [0.000, 6.940, 0.013], [0.000, -2.532, 7.742]], "species": ["Te", "Na", "Te", "Te", "Pd", "U", "Te", "Na"], "frac_coords": [[0.000, 0.239, 0.775], [0.000, 0.500, 0.500], [0.000, 0.761, 0.225], [0.500, 0.226, 0.216], [0.000, 0.000, 0.000], [0.500, 0.500, 0.000], [0.500, 0.774, 0.784], [0.500, 0.000, 0.500]], "sg": "P2/m, No. 10", "m_tot_mub_per_cell": 1.80, "energy_ev_per_atom": -4.58, "e_form_raw_ev_per_atom": -0.6221}



{"formula": "NaVTe3Pd", "functional": "PBE", "state": "optimized geometry", "lattice_angstrom": [[-3.427, -0.701, 1.449], [-1.845, -4.532, -6.558], [4.294, -5.799, 7.349]], "species": ["Te", "V", "Te", "V", "Te", "Na", "Te", "Te", "Pd", "Pd", "Te", "Na"], "frac_coords": [[0.250, 0.721, 0.435], [0.750, 0.288, 0.824], [0.250, 0.559, 0.882], [0.250, 0.712, 0.176], [0.750, 0.919, 0.128], [0.750, 0.741, 0.704], [0.750, 0.279, 0.565], [0.250, 0.081, 0.872], [0.750, 0.931, 0.387], [0.250, 0.069, 0.613], [0.750, 0.441, 0.118], [0.250, 0.259, 0.296]], "sg": "P2_1/m, No. 11", "m_tot_mub_per_cell": 1.14, "energy_ev_per_atom": -4.65, "e_form_raw_ev_per_atom": -0.4731}



{"formula": "NaTe2PdW", "functional": "PBE", "state": "optimized geometry", "lattice_angstrom": [[5.261, 0.000, 0.000], [0.000, 5.261, 0.000], [0.000, 0.000, 5.003]], "species": ["Pd", "Te", "Te", "Na", "W"], "frac_coords": [[0.500, 0.500, 0.500], [0.000, 0.500, 0.000], [0.500, 0.000, 0.000], [0.000, 0.000, 0.000], [0.000, 0.000, 0.500]], "sg": "P4/mmm, No. 123", "m_tot_mub_per_cell": 3.81, "energy_ev_per_atom": -3.36, "e_form_raw_ev_per_atom": 1.7946}



{"formula": "Na3Zr3Te8Pd", "functional": "PBE", "state": "optimized geometry", "lattice_angstrom": [[-6.962, -0.867, -4.254], [7.176, -2.035, -3.416], [-3.224, -5.602, 6.417]], "species": ["Te", "Te", "Te", "Te", "Te", "Zr", "Te", "Na", "Pd", "Zr", "Na", "Te", "Na", "Zr", "Te"], "frac_coords": [[0.767, 0.020, 0.287], [0.746, 0.980, 0.713], [0.233, 0.466, 0.713], [0.767, 0.534, 0.287], [0.254, 0.020, 0.287], [0.500, 0.500, 0.500], [0.742, 0.484, 0.725], [0.000, 0.000, 0.000], [0.000, 0.000, 0.500], [0.500, 0.000, 0.500], [0.000, 0.500, 0.000], [0.233, 0.980, 0.713], [0.500, 0.500, 0.000], [0.000, 0.500, 0.500], [0.258, 0.516, 0.275]], "sg": "R-3m, No. 166", "m_tot_mub_per_cell": 0.00, "energy_ev_per_atom": -4.78, "e_form_raw_ev_per_atom": -0.7816}



{"formula": "NaZrTe2Pd", "functional": "PBE", "state": "optimized geometry", "lattice_angstrom": [[-2.382, 0.745, 4.005], [-5.133, -6.181, -1.902], [4.907, -3.696, 3.607]], "species": ["Te", "Zr", "Pd", "Te", "Na", "Te", "Zr", "Te", "Na", "Pd"], "frac_coords": [[0.313, 0.735, 0.452], [0.499, 0.000, 0.250], [0.000, 0.000, 0.500], [0.313, 0.265, 0.048], [0.175, 0.500, 0.750], [0.687, 0.265, 0.548], [0.501, 0.000, 0.750], [0.687, 0.735, 0.952], [0.825, 0.500, 0.250], [0.000, 0.000, 0.000]], "sg": "P2/c, No. 13", "m_tot_mub_per_cell": 0.00, "energy_ev_per_atom": -4.97, "e_form_raw_ev_per_atom": -0.7044}



{"formula": "Na3Zr2Te6Pd", "functional": "PBE", "state": "optimized geometry", "lattice_angstrom": [[7.299, -0.006, -0.004], [-3.653, 6.319, -0.004], [-1.220, -2.113, 7.475]], "species": ["Na", "Te", "Pd", "Te", "Zr", "Na", "Te", "Zr", "Te", "Na", "Te", "Te"], "frac_coords": [[0.831, 0.169, 0.500], [0.746, 0.746, 0.217], [0.000, 0.000, 0.000], [0.071, 0.398, 0.215], [0.666, 0.334, 0.000], [0.500, 0.500, 0.500], [0.398, 0.071, 0.215], [0.334, 0.666, 0.000], [0.254, 0.254, 0.783], [0.169, 0.831, 0.500], [0.602, 0.929, 0.785], [0.929, 0.602, 0.785]], "sg": "C2/m, No. 12", "m_tot_mub_per_cell": 0.00, "energy_ev_per_atom": -4.51, "e_form_raw_ev_per_atom": -0.7562}



{"formula": "Na2Zr2Te6Pd", "functional": "PBE", "state": "optimized geometry", "lattice_angstrom": [[-1.312, -6.743, 1.738], [1.457, 1.649, -6.735], [7.397, 0.605, 3.017]], "species": ["Te", "Te", "Na", "Na", "Te", "Pd", "Zr", "Zr", "Te", "Te", "Te"], "frac_coords": [[0.746, 0.746, 0.697], [0.254, 0.254, 0.303], [0.841, 0.159, 0.000], [0.159, 0.841, 0.000], [0.901, 0.585, 0.272], [0.000, 0.000, 0.500], [0.683, 0.317, 0.500], [0.317, 0.683, 0.500], [0.415, 0.099, 0.728], [0.099, 0.415, 0.728], [0.585, 0.901, 0.272]], "sg": "C2/m, No. 12", "m_tot_mub_per_cell": 0.00, "energy_ev_per_atom": -4.70, "e_form_raw_ev_per_atom": -0.7223}



{"formula": "NaTh4Pd15", "functional": "PBE", "state": "optimized geometry", "lattice_angstrom": [[-0.510, -2.659, 3.224], [-1.121, -3.041, -2.687], [19.775, -5.815, -1.667]], "species": ["Pd", "Th", "Th", "Pd", "Pd", "Pd", "Th", "Pd", "Pd", "Pd", "Pd", "Th", "Pd", "Pd", "Pd", "Na", "Pd", "Pd", "Pd", "Pd"], "frac_coords": [[0.500, 0.500, 0.000], [0.000, 0.000, 0.189], [0.000, 0.000, 0.811], [0.500, 0.000, 0.096], [0.500, 0.500, 0.199], [0.000, 0.500, 0.904], [0.000, 0.000, 0.396], [0.500, 0.000, 0.500], [0.500, 0.500, 0.399], [0.000, 0.500, 0.702], [0.000, 0.500, 0.500], [0.000, 0.000, 0.604], [0.000, 0.500, 0.298], [0.500, 0.000, 0.904], [0.500, 0.000, 0.702], [0.000, 0.000, 0.000], [0.000, 0.500, 0.096], [0.500, 0.500, 0.601], [0.500, 0.000, 0.298], [0.500, 0.500, 0.801]], "delta_e_f_ev_per_fu": -16.0, "sg": "P4/mmm, No. 123", "m_tot_mub_per_cell": 0.00, "energy_ev_per_atom": -6.24}



{"formula": "NaTh3Pd12", "functional": "PBE", "state": "optimized geometry", "lattice_angstrom": [[-0.498, 2.979, -2.926], [2.071, -2.382, -2.778], [-14.205, -6.936, -4.644]], "species": ["Pd", "Pd", "Pd", "Pd", "Pd", "Pd", "Pd", "Na", "Pd", "Pd", "Pd", "Th", "Pd", "Th", "Pd", "Th"], "frac_coords": [[0.500, 0.000, 0.373], [0.000, 0.500, 0.879], [0.500, 0.500, 0.000], [0.500, 0.000, 0.627], [0.500, 0.500, 0.249], [0.500, 0.500, 0.500], [0.500, 0.000, 0.121], [0.000, 0.000, 0.000], [0.500, 0.500, 0.751], [0.000, 0.500, 0.121], [0.500, 0.000, 0.879], [0.000, 0.000, 0.239], [0.000, 0.500, 0.627], [0.000, 0.000, 0.500], [0.000, 0.500, 0.373], [0.000, 0.000, 0.761]], "delta_e_f_ev_per_fu": -12.1, "sg": "P4/mmm, No. 123", "m_tot_mub_per_cell": 0.00, "energy_ev_per_atom": -6.13}